# 1
Here is a geometry-optimized LiZn2Cu structure from OQMD via LeMat-Bulk. Energies are from PBE.

```
data_LiZn2Cu
_chemical_formula_sum 'Li1 Zn2 Cu1'
_cell_length_a 3.018
_cell_length_b 3.018
_cell_length_c 5.880
_cell_angle_alpha 90.00
_cell_angle_beta 90.00
_cell_angle_gamma 90.00
_symmetry_space_group_name_H-M 'P 1'
_symmetry_Int_Tables_number 1
loop_
_symmetry_equiv_pos_as_xyz
'x,y,z'
loop_
_atom_site_label
_atom_site_type_symbol
_atom_site_fract_x
_atom_site_fract_y
_atom_site_fract_z
Cu1 Cu 0.000 0.000 0.500
Zn1 Zn 0.500 0.500 0.742
Zn2 Zn 0.500 0.500 0.258
Li1 Li 0.000 0.000 0.000
```



# 2
Here is a geometry-optimized LiZn6Cu structure from OQMD via LeMat-Bulk. Energies are from PBE.

```
data_LiZn6Cu
_chemical_formula_sum 'Li1 Zn6 Cu1'
_cell_length_a 4.305
_cell_length_b 5.410
_cell_length_c 4.730
_cell_angle_alpha 90.00
_cell_angle_beta 90.00
_cell_angle_gamma 90.00
_symmetry_space_group_name_H-M 'P 1'
_symmetry_Int_Tables_number 1
loop_
_symmetry_equiv_pos_as_xyz
'x,y,z'
loop_
_atom_site_label
_atom_site_type_symbol
_atom_site_fract_x
_atom_site_fract_y
_atom_site_fract_z
Zn1 Zn 0.000 0.248 0.832
Zn2 Zn 0.500 0.000 0.662
Zn3 Zn 0.500 0.248 0.165
Zn4 Zn 0.000 0.752 0.832
Zn5 Zn 0.500 0.752 0.165
Zn6 Zn 0.000 0.500 0.337
Cu1 Cu 0.000 0.000 0.342
Li1 Li 0.500 0.500 0.666
```



# 3
Here is a geometry-optimized LiZn2Cu structure from OQMD via LeMat-Bulk. Energies are from PBE.

```
data_LiZn2Cu
_chemical_formula_sum 'Li2 Zn4 Cu2'
_cell_length_a 4.177
_cell_length_b 4.177
_cell_length_c 7.866
_cell_angle_alpha 90.00
_cell_angle_beta 90.00
_cell_angle_gamma 120.00
_symmetry_space_group_name_H-M 'P 1'
_symmetry_Int_Tables_number 1
loop_
_symmetry_equiv_pos_as_xyz
'x,y,z'
loop_
_atom_site_label
_atom_site_type_symbol
_atom_site_fract_x
_atom_site_fract_y
_atom_site_fract_z
Cu1 Cu 0.000 0.000 0.000
Cu2 Cu 0.000 0.000 0.500
Zn1 Zn 0.667 0.333 0.086
Zn2 Zn 0.333 0.667 0.914
Zn3 Zn 0.333 0.667 0.586
Zn4 Zn 0.667 0.333 0.414
Li1 Li 0.333 0.667 0.250
Li2 Li 0.667 0.333 0.750
```



# 4
Here is a geometry-optimized LiZn2Cu structure from OQMD via LeMat-Bulk. Energies are from PBE.

```
data_LiZn2Cu
_chemical_formula_sum 'Li2 Zn4 Cu2'
_cell_length_a 4.124
_cell_length_b 4.124
_cell_length_c 7.685
_cell_angle_alpha 90.00
_cell_angle_beta 90.00
_cell_angle_gamma 120.00
_symmetry_space_group_name_H-M 'P 1'
_symmetry_Int_Tables_number 1
loop_
_symmetry_equiv_pos_as_xyz
'x,y,z'
loop_
_atom_site_label
_atom_site_type_symbol
_atom_site_fract_x
_atom_site_fract_y
_atom_site_fract_z
Zn1 Zn 0.667 0.333 0.583
Zn2 Zn 0.667 0.333 0.917
Zn3 Zn 0.333 0.667 0.083
Zn4 Zn 0.333 0.667 0.417
Li1 Li 0.333 0.667 0.750
Li2 Li 0.667 0.333 0.250
Cu1 Cu 0.000 0.000 0.750
Cu2 Cu 0.000 0.000 0.250
```



# 5
Here is a geometry-optimized LiZn4Cu structure from OQMD via LeMat-Bulk. Energies are from PBE.

```
data_LiZn4Cu
_chemical_formula_sum 'Li1 Zn4 Cu1'
_cell_length_a 4.329
_cell_length_b 4.666
_cell_length_c 4.666
_cell_angle_alpha 119.84
_cell_angle_beta 90.00
_cell_angle_gamma 90.00
_symmetry_space_group_name_H-M 'P 1'
_symmetry_Int_Tables_number 1
loop_
_symmetry_equiv_pos_as_xyz
'x,y,z'
loop_
_atom_site_label
_atom_site_type_symbol
_atom_site_fract_x
_atom_site_fract_y
_atom_site_fract_z
Cu1 Cu 0.000 0.170 0.170
Li1 Li 0.500 0.839 0.839
Zn1 Zn 0.000 0.833 0.501
Zn2 Zn 0.500 0.493 0.165
Zn3 Zn 0.000 0.501 0.833
Zn4 Zn 0.500 0.165 0.493
```



# 6
Here is a geometry-optimized LiZn2Cu structure from OQMD via LeMat-Bulk. Energies are from PBE.

```
data_LiZn2Cu
_chemical_formula_sum 'Li1 Zn2 Cu1'
_cell_length_a 4.189
_cell_length_b 4.189
_cell_length_c 4.189
_cell_angle_alpha 60.00
_cell_angle_beta 60.00
_cell_angle_gamma 60.00
_symmetry_space_group_name_H-M 'P 1'
_symmetry_Int_Tables_number 1
loop_
_symmetry_equiv_pos_as_xyz
'x,y,z'
loop_
_atom_site_label
_atom_site_type_symbol
_atom_site_fract_x
_atom_site_fract_y
_atom_site_fract_z
Zn1 Zn 0.000 0.000 0.000
Zn2 Zn 0.250 0.250 0.250
Li1 Li 0.500 0.500 0.500
Cu1 Cu 0.750 0.750 0.750
```



# 7
Here is a geometry-optimized LiZn2Cu structure from OQMD via LeMat-Bulk. Energies are from PBE.

```
data_LiZn2Cu
_chemical_formula_sum 'Li2 Zn4 Cu2'
_cell_length_a 4.243
_cell_length_b 4.243
_cell_length_c 7.318
_cell_angle_alpha 90.00
_cell_angle_beta 90.00
_cell_angle_gamma 120.00
_symmetry_space_group_name_H-M 'P 1'
_symmetry_Int_Tables_number 1
loop_
_symmetry_equiv_pos_as_xyz
'x,y,z'
loop_
_atom_site_label
_atom_site_type_symbol
_atom_site_fract_x
_atom_site_fract_y
_atom_site_fract_z
Li1 Li 0.000 0.000 0.000
Li2 Li 0.000 0.000 0.500
Zn1 Zn 0.333 0.667 0.586
Zn2 Zn 0.333 0.667 0.914
Zn3 Zn 0.667 0.333 0.414
Zn4 Zn 0.667 0.333 0.086
Cu1 Cu 0.333 0.667 0.250
Cu2 Cu 0.667 0.333 0.750
```



# 8
# LiZrCu2 (PBE, relaxed)
# **Spin magnetization**: 0.183 μB/f.u.
data_LiZrCu2
_chemical_formula_sum 'Li1 Zr1 Cu2'
_cell_length_a 4.306
_cell_length_b 4.306
_cell_length_c 4.306
_cell_angle_alpha 60.00
_cell_angle_beta 60.00
_cell_angle_gamma 60.00
_symmetry_space_group_name_H-M 'P 1'
_symmetry_Int_Tables_number 1
loop_
_symmetry_equiv_pos_as_xyz
'x,y,z'
loop_
_atom_site_label
_atom_site_type_symbol
_atom_site_fract_x
_atom_site_fract_y
_atom_site_fract_z
Zr1 Zr 0.250 0.250 0.250
Cu1 Cu 0.750 0.750 0.750
Cu2 Cu 0.000 0.000 0.000
Li1 Li 0.500 0.500 0.500



# 9
# Lu3Cu2 (PBE, relaxed)
# **Energy of formation from the pure elements**: -0.219 eV per atom
# **Spin magnetization**: 0.003 μB/f.u.
data_Lu3Cu2
_chemical_formula_sum 'Lu6 Cu4'
_cell_length_a 6.861
_cell_length_b 6.861
_cell_length_c 9.501
_cell_angle_alpha 104.23
_cell_angle_beta 104.23
_cell_angle_gamma 30.37
_symmetry_space_group_name_H-M 'P 1'
_symmetry_Int_Tables_number 1
loop_
_symmetry_equiv_pos_as_xyz
'x,y,z'
loop_
_atom_site_label
_atom_site_type_symbol
_atom_site_fract_x
_atom_site_fract_y
_atom_site_fract_z
Lu1 Lu 0.134 0.134 0.989
Lu2 Lu 0.866 0.866 0.011
Lu3 Lu 0.150 0.150 0.381
Lu4 Lu 0.850 0.850 0.619
Lu5 Lu 0.588 0.588 0.661
Lu6 Lu 0.412 0.412 0.339
Cu1 Cu 0.255 0.255 0.774
Cu2 Cu 0.462 0.462 0.856
Cu3 Cu 0.745 0.745 0.226
Cu4 Cu 0.538 0.538 0.144



# 10
# Lu6Cu23 (PBE, relaxed)
# **Energy of formation from the pure elements**: -0.211 eV per atom
# **Spin magnetization**: 0.002 μB/f.u.
data_Lu6Cu23
_chemical_formula_sum 'Lu6 Cu23'
_cell_length_a 8.460
_cell_length_b 8.460
_cell_length_c 8.460
_cell_angle_alpha 120.00
_cell_angle_beta 90.00
_cell_angle_gamma 120.00
_symmetry_space_group_name_H-M 'P 1'
_symmetry_Int_Tables_number 1
loop_
_symmetry_equiv_pos_as_xyz
'x,y,z'
loop_
_atom_site_label
_atom_site_type_symbol
_atom_site_fract_x
_atom_site_fract_y
_atom_site_fract_z
Lu1 Lu 0.711 0.000 0.711
Lu2 Lu 0.711 0.421 0.711
Lu3 Lu 0.289 0.000 0.711
Lu4 Lu 0.289 0.000 0.289
Lu5 Lu 0.711 0.000 0.289
Lu6 Lu 0.289 0.579 0.289
Cu1 Cu 0.500 0.000 0.000
Cu2 Cu 0.637 0.758 0.879
Cu3 Cu 0.363 0.242 0.121
Cu4 Cu 0.121 0.242 0.879
Cu5 Cu 0.879 0.758 0.121
Cu6 Cu 0.500 0.500 0.000
Cu7 Cu 0.000 0.000 0.500
Cu8 Cu 0.983 0.656 0.328
Cu9 Cu 0.121 0.242 0.363
Cu10 Cu 0.000 0.500 0.500
Cu11 Cu 0.328 0.656 0.672
Cu12 Cu 0.121 0.758 0.879
Cu13 Cu 0.672 0.656 0.328
Cu14 Cu 0.328 0.344 0.672
Cu15 Cu 0.017 0.344 0.672
Cu16 Cu 0.000 0.000 0.000
Cu17 Cu 0.672 0.344 0.017
Cu18 Cu 0.000 0.500 0.000
Cu19 Cu 0.500 0.500 0.500
Cu20 Cu 0.879 0.758 0.637
Cu21 Cu 0.328 0.656 0.983
Cu22 Cu 0.672 0.344 0.328
Cu23 Cu 0.879 0.242 0.121



# 11
# LuMg2Cu (PBE, relaxed)
# **Spin magnetization**: 0.002 μB/f.u.
data_LuMg2Cu
_chemical_formula_sum 'Lu1 Mg2 Cu1'
_cell_length_a 4.829
_cell_length_b 4.829
_cell_length_c 4.829
_cell_angle_alpha 60.00
_cell_angle_beta 60.00
_cell_angle_gamma 60.00
_symmetry_space_group_name_H-M 'P 1'
_symmetry_Int_Tables_number 1
loop_
_symmetry_equiv_pos_as_xyz
'x,y,z'
loop_
_atom_site_label
_atom_site_type_symbol
_atom_site_fract_x
_atom_site_fract_y
_atom_site_fract_z
Cu1 Cu 0.500 0.500 0.500
Mg1 Mg 0.750 0.750 0.750
Mg2 Mg 0.000 0.000 0.000
Lu1 Lu 0.250 0.250 0.250



# 12
# Lu2MgCu (PBE, relaxed)
# **Spin magnetization**: 0.006 μB/f.u.
data_Lu2MgCu
_chemical_formula_sum 'Lu2 Mg1 Cu1'
_cell_length_a 5.039
_cell_length_b 5.039
_cell_length_c 5.039
_cell_angle_alpha 60.00
_cell_angle_beta 60.00
_cell_angle_gamma 60.00
_symmetry_space_group_name_H-M 'P 1'
_symmetry_Int_Tables_number 1
loop_
_symmetry_equiv_pos_as_xyz
'x,y,z'
loop_
_atom_site_label
_atom_site_type_symbol
_atom_site_fract_x
_atom_site_fract_y
_atom_site_fract_z
Cu1 Cu 0.250 0.250 0.250
Lu1 Lu 0.750 0.750 0.750
Lu2 Lu 0.000 0.000 0.000
Mg1 Mg 0.500 0.500 0.500



What did we get for total DFT energy (no corrections)? Answer: -2.18, -1.77, -2.11, -1.99, -1.91, -2.19, -2.12, -4.43, -4.42, -4.09, -2.89, -3.42 eV per atom, in the order shown.